No. 1
ScTi2Ag, relaxed, DFT PBE-GGA; calculated volume = 18.33 Å³/atom; ΔH_f (0 K) = 261 meV/atom; DOS(E_F) = 6.18 states/eV/cell
1.0
0.000 3.322 3.322
3.322 0.000 3.322
3.322 3.322 0.000
Ti Ag Sc
2 1 1
Cartesian
1.661 1.661 1.661 Ti
4.983 4.983 4.983 Ti
3.322 3.322 3.322 Ag
0.000 0.000 0.000 Sc



No. 2
Ce3Al2ZnAu6, relaxed, DFT PBE-GGA; calculated volume = 23.00 Å³/atom; ΔH_f (0 K) = -371 meV/atom; DOS(E_F) = 23.48 states/eV/cell
1.0
-0.310 6.114 0.049
-4.845 -3.324 1.719
2.796 0.077 8.028
Ce Au Zn Al
3 6 1 2
Cartesian
-0.794 2.996 3.557 Ce
0.000 0.000 0.000 Ce
-1.566 -0.130 6.239 Ce
-3.269 -1.641 3.658 Au
-1.376 2.939 6.950 Au
-3.415 1.243 3.681 Au
-0.983 -0.073 2.847 Au
0.910 4.508 6.139 Au
1.056 1.623 6.115 Au
1.398 0.038 4.014 Zn
0.888 3.042 8.385 Al
-3.247 -0.176 1.411 Al



No. 3
AlCo2, relaxed, DFT PBE-GGA; calculated volume = 11.87 Å³/atom; ΔH_f (0 K) = -106 meV/atom; DOS(E_F) = 3.92 states/eV/cell
1.0
6.125 -0.003 -0.002
5.560 2.569 -0.002
5.560 1.221 2.260
Co Al
2 1
Cartesian
3.791 0.832 0.496 Co
13.455 2.954 1.761 Co
0.000 0.000 0.000 Al



No. 4
FeRe3Ru, relaxed, DFT PBE-GGA; calculated volume = 14.08 Å³/atom; ΔH_f (0 K) = 81 meV/atom; DOS(E_F) = 11.04 states/eV/cell
1.0
3.674 0.849 -0.781
0.266 8.109 0.592
-2.082 -3.886 4.932
Ru Re Fe
2 6 2
Cartesian
0.094 3.587 4.327 Ru
1.763 1.486 0.416 Ru
-1.262 1.303 4.949 Re
1.177 -2.238 3.067 Re
3.119 3.770 -0.206 Re
1.604 3.699 2.058 Re
0.253 1.374 2.685 Re
0.681 7.312 1.676 Re
-1.112 -0.880 3.278 Fe
2.969 5.953 1.465 Fe



No. 5
NaReNi, relaxed, DFT PBE-GGA; calculated volume = 15.87 Å³/atom; ΔH_f (0 K) = 557 meV/atom; DOS(E_F) = 4.57 states/eV/cell
1.0
3.676 -2.122 0.000
0.000 4.245 0.000
0.000 0.000 6.103
Re Ni Na
2 2 2
Cartesian
0.000 0.000 0.358 Re
2.451 0.000 1.189 Re
1.225 2.122 1.647 Ni
0.000 0.000 2.711 Ni
2.451 0.000 4.118 Na
1.225 2.122 4.730 Na



No. 6
LiLaSb2, relaxed, DFT PBE-GGA; calculated volume = 26.95 Å³/atom; energy relative to the elements, uncorrected = -66.5 kJ/mol of atoms; DOS(E_F) = 1.36 states/eV/cell
1.0
6.150 -0.020 -0.026
2.829 5.461 0.026
-4.473 -2.747 3.205
Sb Li La
2 1 1
Cartesian
0.002 0.001 0.000 Sb
3.084 -0.023 1.589 Sb
1.419 2.716 1.615 Li
4.488 2.720 0.000 La